# Tb6PrIn

Crystalline Tb6PrIn at its relaxed geometry (PBE, Alexandria via LeMat-Bulk).

E_form = -0.11 eV per atom
Calculated total energy = -0.166 Ha/atom

Unit cell a=4.9360 b=4.9360 c=10.1451 alpha=90.00 beta=90.00 gamma=90.00
Closest atoms and distances in Å follow each position.
Positions (direct):
Tb 0.5000 0.0000 0.7409  8 Tb 3.47-3.61, 2 In 3.47, 2 Pr 3.61
Tb 0.0000 0.5000 0.2591  8 Tb 3.47-3.61, 2 In 3.47, 2 Pr 3.61
Tb 0.5000 0.0000 0.2591  8 Tb 3.47-3.61, 2 In 3.47, 2 Pr 3.61
Tb 0.0000 0.5000 0.7409  8 Tb 3.47-3.61, 2 In 3.47, 2 Pr 3.61
Tb 0.5000 0.5000 0.0000  4 Pr 3.49, 8 Tb 3.61
Tb 0.5000 0.5000 0.5000  8 Tb 3.47, 4 In 3.49
In 0.0000 0.0000 0.5000  12 Tb 3.47-3.49
Pr 0.0000 0.0000 0.0000  12 Tb 3.49-3.61